A relaxed DyPa2RhN5 crystal. Source: the Alexandria database, functional GGA-PBE.

Output
* density of states at the Fermi level: 0.32 states/eV/atom
* formation energy from raw total energies: -1.105 eV/atom
* symmetry: Cmc2_1, No. 36
* total DFT energy (no corrections): -9.169 eV/atom

Lattice parameters (Å, degrees): 6.9283 6.9283 10.3492 90.00 90.00 151.73
With the nearest neighbours (Å) after each atom.
Sites, in units of the cell vectors:
Dy (0.1988, 0.8012, 0.5000)  6 N 2.25-2.50
Dy (0.8012, 0.1988, 0.0000)  6 N 2.25-2.50
Pa (0.1070, 0.8930, 0.1833)  4 N 2.28-2.53
Pa (0.1404, 0.8596, 0.7964)  6 N 2.36-2.62
Pa (0.8596, 0.1404, 0.2964)  6 N 2.36-2.62
Pa (0.8930, 0.1070, 0.6833)  4 N 2.28-2.53
Rh (0.4781, 0.5219, 0.9556)  4 N 1.99-2.17
Rh (0.5219, 0.4781, 0.4556)  4 N 1.99-2.17
N (0.0441, 0.9559, 0.5836)  2 Rh 2.17, 1 Dy 2.25, 1 Pa 2.28
N (0.2802, 0.7198, 0.1756)  3 Pa 2.33-2.36, 2 Dy 2.50
N (0.3315, 0.6685, 0.8468)  1 Rh 2.27, 2 Dy 2.35, 2 Pa 2.53
N (0.3686, 0.6314, 0.4997)  1 Rh 2.11, 1 Dy 2.28
N (0.4802, 0.5198, 0.2710)  1 Rh 1.99
N (0.5198, 0.4802, 0.7710)  1 Rh 1.99
N (0.6314, 0.3686, 0.9997)  1 Rh 2.11, 1 Dy 2.28
N (0.6685, 0.3315, 0.3468)  1 Rh 2.27, 2 Dy 2.35, 2 Pa 2.53
N (0.7198, 0.2802, 0.6756)  3 Pa 2.33-2.36, 2 Dy 2.50
N (0.9559, 0.0441, 0.0836)  2 Rh 2.17, 1 Dy 2.25, 1 Pa 2.28

A relaxed KBP2Br crystal. Source: the Alexandria database, functional GGA-PBE.

Output
* density of states at the Fermi level: 0.63 states/eV/atom
* formation energy from raw total energies: 2.201 eV/atom
* symmetry: P4/mmm, No. 123
* total DFT energy (no corrections): -1.852 eV/atom

Lattice parameters (Å, degrees): 6.1667 6.1667 6.1015 90.00 90.00 90.00
With the nearest neighbours (Å) after each atom.
Sites, in units of the cell vectors:
K (0.0000, 0.0000, 0.0000)  2 B 3.05, 4 P 3.08
B (0.0000, 0.0000, 0.5000)  2 K 3.05
P (0.0000, 0.5000, 0.0000)  2 K 3.08
P (0.5000, 0.0000, 0.0000)  2 K 3.08
Br (0.5000, 0.5000, 0.5000)  8 P 4.34, 4 B 4.36

A relaxed Mn2InTeAu crystal. Source: the Alexandria database, functional GGA-PBE.

Output
* density of states at the Fermi level: 0.69 states/eV/atom
* formation energy from raw total energies: 0.608 eV/atom
* symmetry: P4/mmm, No. 123
* total DFT energy (no corrections): -4.891 eV/atom

Lattice parameters (Å, degrees): 5.0454 5.0454 5.5813 90.00 90.00 90.00
With the nearest neighbours (Å) after each atom.
Sites, in units of the cell vectors:
Mn (0.0000, 0.5000, 0.0000)  2 Au 2.52
Mn (0.5000, 0.0000, 0.0000)  2 Au 2.52
In (0.0000, 0.0000, 0.5000)  4 Te 3.57, 8 Mn 3.76
Te (0.5000, 0.5000, 0.5000)  2 Au 2.79
Au (0.5000, 0.5000, 0.0000)  4 Mn 2.52, 2 Te 2.79

A relaxed Sr3TlCd3 crystal. Source: the Alexandria database, functional GGA-PBE.

Output
* density of states at the Fermi level: 0.81 states/eV/atom
* symmetry: C2/m, No. 12
* formation enthalpy at 0 K: -0.316 eV per atom
* total DFT energy (no corrections): -1.767 eV/atom

Lattice parameters (Å, degrees): 6.6185 6.6185 16.6094 107.50 107.50 43.96
With the nearest neighbours (Å) after each atom.
Sites, in units of the cell vectors:
Sr (0.0364, 0.0364, 0.3865)  6 Cd 3.49-3.62, 4 Tl 3.52-3.80
Sr (0.1078, 0.1078, 0.9226)  7 Cd 3.51-3.61
Sr (0.2461, 0.2461, 0.2306)  6 Cd 3.49-3.62, 2 Tl 3.66
Sr (0.7539, 0.7539, 0.7694)  6 Cd 3.49-3.62, 2 Tl 3.66
Sr (0.8922, 0.8922, 0.0774)  7 Cd 3.51-3.61
Sr (0.9636, 0.9636, 0.6135)  6 Cd 3.49-3.62, 4 Tl 3.52-3.80
Tl (0.2574, 0.2574, 0.6080)  4 Cd 2.96-3.24
Tl (0.7426, 0.7426, 0.3920)  4 Cd 2.96-3.24
Cd (0.3731, 0.3731, 0.4582)  3 Tl 2.96-3.24, 1 Cd 2.97
Cd (0.3940, 0.3940, 0.9225)  2 Cd 2.96-3.01
Cd (0.4696, 0.4696, 0.7701)  1 Cd 2.96, 1 Tl 3.08
Cd (0.5304, 0.5304, 0.2299)  1 Cd 2.96, 1 Tl 3.08
Cd (0.6060, 0.6060, 0.0775)  2 Cd 2.96-3.01
Cd (0.6269, 0.6269, 0.5418)  3 Tl 2.96-3.24, 1 Cd 2.97

A relaxed LiInHgCl2 crystal. Source: the Alexandria database, functional GGA-PBE.

Output
* density of states at the Fermi level: 0.19 states/eV/atom
* formation energy from raw total energies: -0.284 eV/atom
* symmetry: P4/mmm, No. 123
* total DFT energy (no corrections): -2.014 eV/atom

Lattice parameters (Å, degrees): 6.0913 6.0913 5.2671 90.00 90.00 90.00
With the nearest neighbours (Å) after each atom.
Sites, in units of the cell vectors:
Li (0.0000, 0.0000, 0.0000)  8 Cl 4.03, 4 In 4.31
In (0.5000, 0.5000, 0.0000)  2 Hg 2.63
Hg (0.5000, 0.5000, 0.5000)  2 In 2.63
Cl (0.0000, 0.5000, 0.5000)  2 Hg 3.05
Cl (0.5000, 0.0000, 0.5000)  2 Hg 3.05

A relaxed ZrCrS2N crystal. Source: the Alexandria database, functional GGA-PBE.

Output
* density of states at the Fermi level: 0.45 states/eV/atom
* formation energy from raw total energies: -0.379 eV/atom
* symmetry: P4/mmm, No. 123
* total DFT energy (no corrections): -7.329 eV/atom

Lattice parameters (Å, degrees): 4.6666 4.6666 3.5427 90.00 90.00 90.00
With the nearest neighbours (Å) after each atom.
Sites, in units of the cell vectors:
Zr (0.0000, 0.0000, 0.0000)  8 S 2.93
Cr (0.5000, 0.5000, 0.5000)  2 N 1.77
S (0.0000, 0.5000, 0.5000)  2 Cr 2.33
S (0.5000, 0.0000, 0.5000)  2 Cr 2.33
N (0.5000, 0.5000, 0.0000)  2 Cr 1.77

Among the records above, which one has the lowest density of states at the Fermi level?
LiInHgCl2